[1]
Material: KBa3Ni
Method: DFT, PBE
State: relaxed

a b c (Å): 6.3618 6.3618 6.3618
angles (deg): 90.00 90.00 90.00
Atoms (fractional coordinates):
K: 0.0000 0.0000 0.0000
Ba: 0.0000 0.5000 0.5000
Ba: 0.5000 0.0000 0.5000
Ba: 0.5000 0.5000 0.0000
Ni: 0.5000 0.5000 0.5000

Space-group type ... Pm-3m, No. 221
E above lowest polymorph ... 0.0 meV per atom
Uncorrected energy ... -12.43 eV/cell
Calculated formation energy ... 0.2 eV per formula unit

=====

[2]
Material: AcPrDyEr
Method: DFT, PBE
State: relaxed

a b c (Å): 3.7164 3.7164 11.9034
angles (deg): 90.00 90.00 120.00
Atoms (fractional coordinates):
Ac: 0.0000 0.0000 0.0000
Pr: 0.3333 0.6667 0.2694
Dy: 0.6667 0.3333 0.5118
Er: 0.3333 0.6667 0.7439

Space-group type ... P3m1, No. 156
E above lowest polymorph ... 0.0 meV per atom
Uncorrected energy ... -17.85 eV/cell
Calculated formation energy ... 0.2 eV per formula unit

=====

[3]
Material: K3Cd8In
Method: DFT, PBE
State: relaxed

a b c (Å): 10.9468 10.9468 10.9468
angles (deg): 33.10 33.10 33.10
Atoms (fractional coordinates):
K: 0.0000 0.0000 0.0000
K: 0.1278 0.1278 0.1278
K: 0.6223 0.6223 0.6223
Cd: 0.0620 0.0620 0.5588
Cd: 0.0620 0.5588 0.0620
Cd: 0.0663 0.5633 0.5633
Cd: 0.3130 0.3130 0.3130
Cd: 0.5588 0.0620 0.0620
Cd: 0.5633 0.0663 0.5633
Cd: 0.5633 0.5633 0.0663
Cd: 0.8129 0.8129 0.8129
In: 0.5013 0.5013 0.5013

Space-group type ... R3m, No. 160
Uncorrected energy ... -14.03 eV/cell
Calculated formation energy ... -0.7 eV per formula unit

=====

[4]
Material: Cs2TlAs2
Method: DFT, PBE
State: relaxed

a b c (Å): 8.4781 8.4781 7.9630
angles (deg): 99.23 99.23 124.29
Atoms (fractional coordinates):
Cs: 0.0508 0.3242 0.2877
Cs: 0.3242 0.0508 0.2877
Cs: 0.6758 0.9492 0.7123
Cs: 0.9492 0.6758 0.7123
Tl: 0.3596 0.6404 0.0000
Tl: 0.6404 0.3596 0.0000
As: 0.2127 0.2127 0.8998
As: 0.3875 0.3875 0.7032
As: 0.6125 0.6125 0.2968
As: 0.7873 0.7873 0.1002

Space-group type ... C2/m, No. 12
E above lowest polymorph ... 26.3 meV per atom
Uncorrected energy ... -29.37 eV/cell
Calculated formation energy ... -1.3 eV per formula unit

=====

[5]
Material: InSiHg2
Method: DFT, PBE
State: relaxed

a b c (Å): 6.1095 6.0486 4.2431
angles (deg): 70.35 68.81 40.85
Atoms (fractional coordinates):
In: 0.0000 0.0000 0.0000
Si: 0.5000 0.5000 0.5000
Hg: 0.0000 0.5000 0.5000
Hg: 0.5000 0.0000 0.0000

Space-group type ... Fmmm, No. 69
Uncorrected energy ... -7.57 eV/cell

=====

[6]
Material: Ac8Sn3Pb4
Method: DFT, PBE
State: relaxed

a b c (Å): 9.6795 9.6795 8.3584
angles (deg): 115.57 115.57 89.91
Atoms (fractional coordinates):
Ac: 0.2484 0.2484 0.4953
Ac: 0.2487 0.2487 0.0024
Ac: 0.2487 0.7513 0.0000
Ac: 0.2508 0.7492 0.5000
Ac: 0.7492 0.2508 0.5000
Ac: 0.7513 0.2487 0.0000
Ac: 0.7513 0.7513 0.9976
Ac: 0.7516 0.7516 0.5047
Sn: 0.0000 0.0000 0.0000
Sn: 0.0000 0.5000 0.5000
Sn: 0.5000 0.0000 0.5000
Pb: 0.0000 0.5000 0.0000
Pb: 0.5000 0.0000 0.0000
Pb: 0.5000 0.5000 0.0000
Pb: 0.5000 0.5000 0.5000

Space-group type ... C2/m, No. 12
Uncorrected energy ... -65.91 eV/cell
Calculated formation energy ... -6.2 eV per formula unit

=====

[7]
Material: MgTi2Zn
Method: DFT, PBE
State: relaxed

a b c (Å): 5.8962 5.8962 5.8962
angles (deg): 101.07 101.07 128.03
Atoms (fractional coordinates):
Mg: 0.0000 0.0000 0.0000
Mg: 0.7500 0.2500 0.5000
Ti: 0.1462 0.1250 0.5212
Ti: 0.3750 0.8538 0.9788
Ti: 0.6038 0.6250 0.4788
Ti: 0.8750 0.3962 0.0212
Zn: 0.2500 0.7500 0.5000
Zn: 0.5000 0.5000 0.0000

Space-group type ... I-42d, No. 122
E above lowest polymorph ... 354.1 meV per atom
Uncorrected energy ... -34.37 eV/cell
Calculated formation energy ... 1.5 eV per formula unit

=====

[8]
Material: Sc3GaO
Method: DFT, PBE
State: relaxed

a b c (Å): 3.3079 4.2458 6.0879
angles (deg): 90.00 90.22 90.00
Atoms (fractional coordinates):
Sc: 0.0000 0.0000 0.0000
Sc: 0.4987 0.5000 0.7479
Sc: 0.5013 0.5000 0.2521
Ga: 0.0000 0.0000 0.5000
O: 0.0000 0.5000 0.0000

Space-group type ... P2/m, No. 10
Uncorrected energy ... -34.17 eV/cell

=====

[9]
Material: BTePt3
Method: DFT, PBE
State: relaxed

a b c (Å): 4.9728 4.9728 4.9728
angles (deg): 90.00 90.00 90.00
Atoms (fractional coordinates):
B: 0.0000 0.0000 0.0000
Te: 0.5000 0.5000 0.5000
Pt: 0.0000 0.5000 0.5000
Pt: 0.5000 0.0000 0.5000
Pt: 0.5000 0.5000 0.0000

Space-group type ... Pm-3m, No. 221
E above lowest polymorph ... 1608.8 meV per atom
Uncorrected energy ... -19.73 eV/cell

=====

[10]
Material: Cr2HgSe
Method: DFT, PBE
State: relaxed

a b c (Å): 3.2098 4.1933 6.3568
angles (deg): 90.00 104.47 90.00
Atoms (fractional coordinates):
Cr: 0.0000 0.0000 0.0000
Cr: 0.4727 0.5000 0.9472
Hg: 0.1610 0.5000 0.3287
Se: 0.3525 0.0000 0.7009

Space-group type ... Pm, No. 6
E above lowest polymorph ... 17.3 meV per atom
Uncorrected energy ... -22.11 eV/cell

=====

[11]
Material: Dy3TlH
Method: DFT, PBE
State: relaxed

a b c (Å): 6.7240 3.6312 9.9844
angles (deg): 90.00 99.22 90.00
Atoms (fractional coordinates):
Dy: 0.0909 0.2500 0.3769
Dy: 0.2174 0.2500 0.8999
Dy: 0.3976 0.7500 0.6339
Dy: 0.6024 0.2500 0.3661
Dy: 0.7826 0.7500 0.1001
Dy: 0.9091 0.7500 0.6231
Tl: 0.2933 0.7500 0.1626
Tl: 0.7067 0.2500 0.8374
H: 0.1629 0.2500 0.6433
H: 0.8371 0.7500 0.3567

Space-group type ... P2_1/m, No. 11
E above lowest polymorph ... 26.3 meV per atom
Uncorrected energy ... -41.69 eV/cell

=====

[12]
Material: Ni17Rh2
Method: DFT, PBE
State: relaxed

a b c (Å): 6.1397 6.1397 6.1397
angles (deg): 81.57 81.57 81.57
Atoms (fractional coordinates):
Ni: 0.0000 0.0000 0.5000
Ni: 0.0000 0.3036 0.6964
Ni: 0.0000 0.5000 0.0000
Ni: 0.0000 0.6964 0.3036
Ni: 0.0982 0.0982 0.0982
Ni: 0.1552 0.6461 0.6461
Ni: 0.3036 0.0000 0.6964
Ni: 0.3036 0.6964 0.0000
Ni: 0.3539 0.3539 0.8448
Ni: 0.3539 0.8448 0.3539
Ni: 0.5000 0.0000 0.0000
Ni: 0.6461 0.1552 0.6461
Ni: 0.6461 0.6461 0.1552
Ni: 0.6964 0.0000 0.3036
Ni: 0.6964 0.3036 0.0000
Ni: 0.8448 0.3539 0.3539
Ni: 0.9018 0.9018 0.9018
Rh: 0.3210 0.3210 0.3210
Rh: 0.6790 0.6790 0.6790

Space-group type ... R-3m, No. 166
Uncorrected energy ... -109.14 eV/cell
Calculated formation energy ... 3.8 eV per formula unit

=====

Number 1: total moment 0.0 μB/f.u.. Number 2: total moment 0.0 μB/f.u.. Number 3: total moment 0.0 μB/f.u.. Number 4: total moment 0.0 μB/f.u.. Number 5: total moment 0.0 μB/f.u.. Number 6: total moment 0.6 μB/f.u.. Number 7: total moment 0.0 μB/f.u.. Number 8: total moment 0.0 μB/f.u.. Number 9: total moment 0.0 μB/f.u.. Number 10: total moment 0.6 μB/f.u.. Number 11: total moment 0.0 μB/f.u.. Number 12: total moment 13.4 μB/f.u..